An optimized crystal structure of RbTeSI2, computed with GGA-PBE.

a b c (Å): 5.911 5.911 5.347
angles (deg): 90.00 90.00 90.00
Positions (direct):
I 0.000 0.500 0.000
I 0.500 0.000 0.000
S 0.000 0.000 0.000
Te 0.000 0.000 0.500
Rb 0.500 0.500 0.500

## Properties
The value obtained for the uncorrected formation energy is -0.259 eV/atom. The total magnetic moment comes out at 0.8 μB per formula unit. As for the space-group type: P4/mmm (123). The calculation puts the total energy at -2.526 eV/atom. Its excess energy over the best structure of this formula in the dataset is 232 meV/atom.